Crystalline Th2CdNi at its relaxed geometry. Source: Alexandria via LeMat-Bulk, functional PBE.

The structure belongs to space group R-3m (No. 166, hexagonal axes); the cell edges are 3.6264, 3.6264 and 31.4846 Å and the angles 90.00°, 90.00° and 120.00°. The asymmetric unit holds Th at (0.0000, 0.0000, 0.1090), Cd at (0.0000, 0.0000, 0.0000) and Ni at (0.0000, 0.0000, 0.5000).

The calculation puts the excess energy over the best structure of this formula in the dataset at 0.326 eV/atom. The formation energy comes out at 0.141 eV/atom.